Entry from Alexandria: CrHN2O after structural relaxation (PBE+U).

a = 2.839 Å, b = 2.839 Å, c = 4.763 Å
α = 90.00°, β = 90.00°, γ = 90.00°
Site moments in Bohr magnetons follow the coordinates.
Sites, in units of the cell vectors:
Cr  0.500  0.500  0.500  -0.11
H  0.000  0.000  0.000  0.00
O  0.000  0.000  0.500  0.07
N  0.000  0.500  0.000  0.02
N  0.500  0.000  0.000  0.02

Computed properties:
The value obtained for the volume is 7.68 A^3/atom. As for the space group: No. 123. As for the uncorrected energy: -5.04 eV per atom. For the total magnetic moment, the calculation gives 0.02 μB/f.u. The density of states at the Fermi level is 3.4 states/eV/f.u.